[1]
{"formula": "Rb3NpSe4", "functional": "PBE", "state": "optimized geometry", "e_tot_ev_per_atom": -4.8712, "space_group": "No. 13", "rho_g_cm3": 4.63, "de_polymorph_mev_per_atom": 0, "formation_energy_uncorrected_ev_per_atom": -1.15, "magmom_total_mub_per_cell": 4.0, "lattice": [[8.4545, 0.0000, 0.0000], [0.0000, 9.5033, 0.0000], [-2.5343, 0.0000, 7.2236]], "species": ["Rb", "Rb", "Rb", "Rb", "Rb", "Rb", "Np", "Np", "Se", "Se", "Se", "Se", "Se", "Se", "Se", "Se"], "frac_coords": [[0.0000, 0.1121, 0.2500], [0.0000, 0.3763, 0.7500], [0.0000, 0.6237, 0.2500], [0.0000, 0.8879, 0.7500], [0.5000, 0.3869, 0.2500], [0.5000, 0.6131, 0.7500], [0.5000, 0.1133, 0.7500], [0.5000, 0.8867, 0.2500], [0.2875, 0.3139, 0.5533], [0.2875, 0.6861, 0.0533], [0.3157, 0.0968, 0.9994], [0.3157, 0.9032, 0.4994], [0.6843, 0.0968, 0.5006], [0.6843, 0.9032, 0.0006], [0.7125, 0.3139, 0.9467], [0.7125, 0.6861, 0.4467]]}

***

[2]
{"formula": "ThPaPb6", "functional": "PBE", "state": "optimized geometry", "delta_e_f_ev_per_atom": -0.119, "e_tot_ev_per_atom": -5.0148, "space_group": "No. 123", "rho_g_cm3": 12.34, "magmom_total_mub_per_cell": 0.4, "lattice": [[4.8590, 0.0000, 0.0000], [0.0000, 4.8590, 0.0000], [0.0000, 0.0000, 9.7250]], "species": ["Th", "Pa", "Pb", "Pb", "Pb", "Pb", "Pb", "Pb"], "frac_coords": [[0.0000, 0.0000, 0.0000], [0.0000, 0.0000, 0.5000], [0.0000, 0.5000, 0.2546], [0.0000, 0.5000, 0.7454], [0.5000, 0.0000, 0.2546], [0.5000, 0.0000, 0.7454], [0.5000, 0.5000, 0.0000], [0.5000, 0.5000, 0.5000]]}

***

[3]
{"formula": "NaSi4O7", "functional": "PBE", "state": "optimized geometry", "e_tot_ev_per_atom": -7.0985, "space_group": "No. 31", "rho_g_cm3": 2.21, "formation_energy_uncorrected_ev_per_atom": -2.29, "magmom_total_mub_per_cell": 2.0, "lattice": [[13.7410, 0.0000, 0.0000], [0.0000, 5.3379, 0.0000], [0.0000, 0.0000, 5.0705]], "species": ["Na", "Na", "Si", "Si", "Si", "Si", "Si", "Si", "Si", "Si", "O", "O", "O", "O", "O", "O", "O", "O", "O", "O", "O", "O", "O", "O"], "frac_coords": [[0.0000, 0.0193, 0.0000], [0.5000, 0.9807, 0.5000], [0.0917, 0.5437, 0.6587], [0.2384, 0.1716, 0.8970], [0.2616, 0.8284, 0.3970], [0.4083, 0.4563, 0.1587], [0.5917, 0.4563, 0.1587], [0.7384, 0.8284, 0.3970], [0.7616, 0.1716, 0.8970], [0.9083, 0.5437, 0.6587], [0.0000, 0.4278, 0.4695], [0.1312, 0.2824, 0.8180], [0.1825, 0.6073, 0.4480], [0.2178, 0.0029, 0.1599], [0.2822, 0.9971, 0.6599], [0.3175, 0.3927, 0.9480], [0.3688, 0.7176, 0.3180], [0.5000, 0.5722, 0.9695], [0.6312, 0.7176, 0.3180], [0.6825, 0.3927, 0.9480], [0.7178, 0.9971, 0.6599], [0.7822, 0.0029, 0.1599], [0.8175, 0.6073, 0.4480], [0.8688, 0.2824, 0.8180]]}

***

[4]
{"formula": "Ta2GaFe", "functional": "PBE", "state": "optimized geometry", "delta_e_f_ev_per_atom": 0.120, "e_tot_ev_per_atom": -8.6787, "space_group": "No. 166", "rho_g_cm3": 12.52, "magmom_total_mub_per_cell": 5.1, "lattice": [[2.9272, 0.0000, 0.0000], [-1.4636, 2.5351, 0.0000], [0.0000, 0.0000, 26.1279]], "species": ["Ta", "Ta", "Ta", "Ta", "Ta", "Ta", "Ga", "Ga", "Ga", "Fe", "Fe", "Fe"], "frac_coords": [[0.0000, 0.0000, 0.2449], [0.0000, 0.0000, 0.7551], [0.3333, 0.6667, 0.4218], [0.3333, 0.6667, 0.9115], [0.6667, 0.3333, 0.0885], [0.6667, 0.3333, 0.5782], [0.0000, 0.0000, 0.0000], [0.3333, 0.6667, 0.6667], [0.6667, 0.3333, 0.3333], [0.0000, 0.0000, 0.5000], [0.3333, 0.6667, 0.1667], [0.6667, 0.3333, 0.8333]]}

***

[5]
{"formula": "La3SmGe2", "functional": "PBE", "state": "optimized geometry", "delta_e_f_ev_per_atom": -0.616, "e_tot_ev_per_atom": -5.4052, "space_group": "No. 71", "rho_g_cm3": 6.59, "magmom_total_mub_per_cell": 0.7, "lattice": [[4.5515, 0.0000, 0.0000], [0.0000, 4.6772, 0.0000], [0.0000, 0.0000, 16.8526]], "species": ["La", "La", "La", "La", "La", "La", "Sm", "Sm", "Ge", "Ge", "Ge", "Ge"], "frac_coords": [[0.0000, 0.0000, 0.0000], [0.0000, 0.5000, 0.3178], [0.0000, 0.5000, 0.6822], [0.5000, 0.0000, 0.1822], [0.5000, 0.0000, 0.8178], [0.5000, 0.5000, 0.5000], [0.0000, 0.0000, 0.5000], [0.5000, 0.5000, 0.0000], [0.0000, 0.5000, 0.1324], [0.0000, 0.5000, 0.8676], [0.5000, 0.0000, 0.3676], [0.5000, 0.0000, 0.6324]]}

***

[6]
{"formula": "V4PdRu", "functional": "PBE", "state": "optimized geometry", "delta_e_f_ev_per_atom": -0.069, "e_tot_ev_per_atom": -8.5595, "space_group": "No. 216", "rho_g_cm3": 8.33, "magmom_total_mub_per_cell": 0.0, "lattice": [[0.0000, 3.4483, 3.4483], [3.4483, 0.0000, 3.4483], [3.4483, 3.4483, 0.0000]], "species": ["V", "V", "V", "V", "Pd", "Ru"], "frac_coords": [[0.1234, 0.1234, 0.1234], [0.1234, 0.1234, 0.6299], [0.1234, 0.6299, 0.1234], [0.6299, 0.1234, 0.1234], [0.5000, 0.5000, 0.5000], [0.7500, 0.7500, 0.7500]]}

***

[7]
{"formula": "Mg3In4Ga", "functional": "PBE", "state": "optimized geometry", "delta_e_f_ev_per_atom": -0.065, "e_tot_ev_per_atom": -2.4102, "space_group": "No. 12", "rho_g_cm3": 5.36, "de_polymorph_mev_per_atom": 0, "magmom_total_mub_per_cell": 0.0, "lattice": [[17.9452, 0.0000, 0.0000], [0.0000, 4.6195, 0.0000], [-1.0731, 0.0000, 4.4995]], "species": ["Mg", "Mg", "Mg", "Mg", "Mg", "Mg", "In", "In", "In", "In", "In", "In", "In", "In", "Ga", "Ga"], "frac_coords": [[0.0000, 0.0000, 0.0000], [0.2489, 0.0000, 0.2489], [0.2511, 0.5000, 0.7511], [0.5000, 0.5000, 0.0000], [0.7489, 0.5000, 0.2489], [0.7511, 0.0000, 0.7511], [0.1245, 0.5000, 0.1240], [0.1245, 0.0000, 0.6248], [0.3755, 0.5000, 0.3752], [0.3755, 0.0000, 0.8760], [0.6245, 0.0000, 0.1240], [0.6245, 0.5000, 0.6248], [0.8755, 0.0000, 0.3752], [0.8755, 0.5000, 0.8760], [0.0000, 0.5000, 0.5000], [0.5000, 0.0000, 0.5000]]}

***

[8]
{"formula": "LaGa2Fe", "functional": "PBE", "state": "optimized geometry", "delta_e_f_ev_per_atom": -0.057, "e_tot_ev_per_atom": -4.9181, "space_group": "No. 122", "rho_g_cm3": 5.99, "magmom_total_mub_per_cell": 6.0, "lattice": [[4.7550, 0.0000, 0.0000], [0.0000, 4.7550, 0.0000], [0.0000, 0.0000, 16.3891]], "species": ["La", "La", "La", "La", "Ga", "Ga", "Ga", "Ga", "Ga", "Ga", "Ga", "Ga", "Fe", "Fe", "Fe", "Fe"], "frac_coords": [[0.0000, 0.0000, 0.0000], [0.0000, 0.5000, 0.2500], [0.5000, 0.0000, 0.7500], [0.5000, 0.5000, 0.5000], [0.0080, 0.2500, 0.6250], [0.2500, 0.5080, 0.8750], [0.2500, 0.9920, 0.3750], [0.4920, 0.2500, 0.1250], [0.5080, 0.7500, 0.1250], [0.7500, 0.0080, 0.3750], [0.7500, 0.4920, 0.8750], [0.9920, 0.7500, 0.6250], [0.0000, 0.0000, 0.5000], [0.0000, 0.5000, 0.7500], [0.5000, 0.0000, 0.2500], [0.5000, 0.5000, 0.0000]]}

***

[9]
{"formula": "ZnCo2Hg", "functional": "PBE", "state": "optimized geometry", "delta_e_f_ev_per_atom": 0.377, "e_tot_ev_per_atom": -3.5699, "space_group": "No. 166", "rho_g_cm3": 10.90, "magmom_total_mub_per_cell": 9.1, "lattice": [[2.8072, 0.0000, 0.0000], [-1.4036, 2.4311, 0.0000], [0.0000, 0.0000, 25.7075]], "species": ["Zn", "Zn", "Zn", "Co", "Co", "Co", "Co", "Co", "Co", "Hg", "Hg", "Hg"], "frac_coords": [[0.0000, 0.0000, 0.0000], [0.3333, 0.6667, 0.6667], [0.6667, 0.3333, 0.3333], [0.0000, 0.0000, 0.2561], [0.0000, 0.0000, 0.7439], [0.3333, 0.6667, 0.4105], [0.3333, 0.6667, 0.9228], [0.6667, 0.3333, 0.0772], [0.6667, 0.3333, 0.5895], [0.0000, 0.0000, 0.5000], [0.3333, 0.6667, 0.1667], [0.6667, 0.3333, 0.8333]]}

***

[10]
{"formula": "AlV2Ge", "functional": "PBE", "state": "optimized geometry", "delta_e_f_ev_per_atom": 0.217, "e_tot_ev_per_atom": -6.4319, "space_group": "No. 122", "rho_g_cm3": 5.43, "magmom_total_mub_per_cell": 0.0, "lattice": [[6.7945, 0.0000, 0.0000], [0.0000, 6.7945, 0.0000], [0.0000, 0.0000, 5.3380]], "species": ["Al", "Al", "Al", "Al", "V", "V", "V", "V", "V", "V", "V", "V", "Ge", "Ge", "Ge", "Ge"], "frac_coords": [[0.0000, 0.0000, 0.0000], [0.0000, 0.5000, 0.2500], [0.5000, 0.0000, 0.7500], [0.5000, 0.5000, 0.5000], [0.2395, 0.7500, 0.6250], [0.2500, 0.2395, 0.3750], [0.2500, 0.2605, 0.8750], [0.2605, 0.7500, 0.1250], [0.7395, 0.2500, 0.1250], [0.7500, 0.7395, 0.8750], [0.7500, 0.7605, 0.3750], [0.7605, 0.2500, 0.6250], [0.0000, 0.0000, 0.5000], [0.0000, 0.5000, 0.7500], [0.5000, 0.0000, 0.2500], [0.5000, 0.5000, 0.0000]]}

***

[11]
{"formula": "Mn2ZnAs2", "functional": "PBE", "state": "optimized geometry", "delta_e_f_ev_per_atom": 0.085, "e_tot_ev_per_atom": -5.6969, "space_group": "No. 127", "rho_g_cm3": 7.88, "de_polymorph_mev_per_atom": 27, "magmom_total_mub_per_cell": 0.0, "lattice": [[6.7828, 0.0000, 0.0000], [0.0000, 6.7828, 0.0000], [0.0000, 0.0000, 2.9769]], "species": ["Mn", "Mn", "Mn", "Mn", "Zn", "Zn", "As", "As", "As", "As"], "frac_coords": [[0.1427, 0.3573, 0.0000], [0.3573, 0.8573, 0.0000], [0.6427, 0.1427, 0.0000], [0.8573, 0.6427, 0.0000], [0.0000, 0.0000, 0.0000], [0.5000, 0.5000, 0.0000], [0.1528, 0.6528, 0.5000], [0.3472, 0.1528, 0.5000], [0.6528, 0.8472, 0.5000], [0.8472, 0.3472, 0.5000]]}

***

[12]
{"formula": "Ho8In2Te", "functional": "PBE", "state": "optimized geometry", "e_tot_ev_per_atom": -4.4413, "space_group": "No. 12", "rho_g_cm3": 8.52, "formation_energy_uncorrected_ev_per_atom": -0.33, "magmom_total_mub_per_cell": 0.0, "lattice": [[9.6925, -2.5143, 0.0000], [9.6925, 2.5143, 0.0000], [-1.4226, 0.0000, 6.7073]], "species": ["Ho", "Ho", "Ho", "Ho", "Ho", "Ho", "Ho", "Ho", "In", "In", "Te"], "frac_coords": [[0.0243, 0.0243, 0.2569], [0.2150, 0.2150, 0.8172], [0.3439, 0.3439, 0.5095], [0.4054, 0.4054, 0.0252], [0.5946, 0.5946, 0.9748], [0.6561, 0.6561, 0.4905], [0.7850, 0.7850, 0.1828], [0.9757, 0.9757, 0.7431], [0.1850, 0.1850, 0.2558], [0.8150, 0.8150, 0.7442], [0.5000, 0.5000, 0.5000]]}